Record 1
The following is a PBE-GGA calculation of a geometry-optimized NaTmSn3 structure, from Alexandria via LeMat-Bulk.

Results
DFT formation energy (eV per atom): -0.317
D(E_F) (states/eV per cell): 8.76
SG: No. 57

Cell and atoms, written as CIF:
```
data_NaTmSn3
_chemical_formula_sum 'Na4 Tm4 Sn12'
_symmetry_space_group_name_H-M 'P 1'
_symmetry_Int_Tables_number 1
_cell_length_a 13.751
_cell_length_b 6.200
_cell_length_c 6.268
_cell_angle_alpha 90.00
_cell_angle_beta 90.00
_cell_angle_gamma 90.00
loop_
_symmetry_equiv_pos_as_xyz
'x,y,z'
loop_
_atom_site_label
_atom_site_type_symbol
_atom_site_fract_x
_atom_site_fract_y
_atom_site_fract_z
Na1 Na 0.098 0.250 0.000
Na2 Na 0.098 0.250 0.500
Na3 Na 0.902 0.750 0.000
Na4 Na 0.902 0.750 0.500
Tm1 Tm 0.322 0.005 0.250
Tm2 Tm 0.322 0.495 0.750
Tm3 Tm 0.678 0.505 0.250
Tm4 Tm 0.678 0.995 0.750
Sn1 Sn 0.115 0.717 0.750
Sn2 Sn 0.115 0.783 0.250
Sn3 Sn 0.289 0.005 0.750
Sn4 Sn 0.289 0.495 0.250
Sn5 Sn 0.494 0.750 0.000
Sn6 Sn 0.494 0.750 0.500
Sn7 Sn 0.506 0.250 0.000
Sn8 Sn 0.506 0.250 0.500
Sn9 Sn 0.711 0.505 0.750
Sn10 Sn 0.711 0.995 0.250
Sn11 Sn 0.885 0.217 0.750
Sn12 Sn 0.885 0.283 0.250
```

Record 2
The following is a PBE-GGA calculation of a geometry-optimized Ba8Rh2N structure, from Alexandria via LeMat-Bulk.

Results
Formation energy without anion corrections (eV per atom): -0.181
D(E_F) (states/eV per cell): 7.34
SG: No. 12

Cell and atoms, written as CIF:
```
data_Ba8Rh2N
_chemical_formula_sum 'Ba8 Rh2 N1'
_symmetry_space_group_name_H-M 'P 1'
_symmetry_Int_Tables_number 1
_cell_length_a 8.176
_cell_length_b 8.176
_cell_length_c 7.579
_cell_angle_alpha 98.54
_cell_angle_beta 98.54
_cell_angle_gamma 75.53
loop_
_symmetry_equiv_pos_as_xyz
'x,y,z'
loop_
_atom_site_label
_atom_site_type_symbol
_atom_site_fract_x
_atom_site_fract_y
_atom_site_fract_z
Ba1 Ba 0.075 0.075 0.271
Ba2 Ba 0.189 0.560 0.163
Ba3 Ba 0.348 0.348 0.713
Ba4 Ba 0.440 0.811 0.837
Ba5 Ba 0.560 0.189 0.163
Ba6 Ba 0.652 0.652 0.287
Ba7 Ba 0.811 0.440 0.837
Ba8 Ba 0.925 0.925 0.729
Rh1 Rh 0.174 0.174 0.945
Rh2 Rh 0.826 0.826 0.055
N1 N 0.500 0.500 0.000
```

Record 3
The following is a PBE-GGA calculation of a geometry-optimized MgTl2Sb structure, from Alexandria via LeMat-Bulk.

Results
Formation energy without anion corrections (eV per atom): 0.039
ΔE to the lowest computed polymorph (meV per atom): 97
D(E_F) (states/eV per cell): 5.40
SG: No. 122

Cell and atoms, written as CIF:
```
data_MgTl2Sb
_chemical_formula_sum 'Mg4 Tl8 Sb4'
_symmetry_space_group_name_H-M 'P 1'
_symmetry_Int_Tables_number 1
_cell_length_a 8.774
_cell_length_b 8.774
_cell_length_c 6.144
_cell_angle_alpha 90.00
_cell_angle_beta 90.00
_cell_angle_gamma 90.00
loop_
_symmetry_equiv_pos_as_xyz
'x,y,z'
loop_
_atom_site_label
_atom_site_type_symbol
_atom_site_fract_x
_atom_site_fract_y
_atom_site_fract_z
Mg1 Mg 0.000 0.000 0.000
Mg2 Mg 0.000 0.500 0.250
Mg3 Mg 0.500 0.000 0.750
Mg4 Mg 0.500 0.500 0.500
Tl1 Tl 0.238 0.250 0.625
Tl2 Tl 0.250 0.738 0.875
Tl3 Tl 0.250 0.762 0.375
Tl4 Tl 0.262 0.250 0.125
Tl5 Tl 0.738 0.750 0.125
Tl6 Tl 0.750 0.238 0.375
Tl7 Tl 0.750 0.262 0.875
Tl8 Tl 0.762 0.750 0.625
Sb1 Sb 0.000 0.000 0.500
Sb2 Sb 0.000 0.500 0.750
Sb3 Sb 0.500 0.000 0.250
Sb4 Sb 0.500 0.500 0.000
```

Record 4
The following is a PBE-GGA calculation of a geometry-optimized Li2Mg2Ag structure, from Alexandria via LeMat-Bulk.

Results
DFT formation energy (eV per atom): 0.030
ΔE to the lowest computed polymorph (meV per atom): 199
D(E_F) (states/eV per cell): 4.07
SG: No. 139

Cell and atoms, written as CIF:
```
data_Li2Mg2Ag
_chemical_formula_sum 'Li4 Mg4 Ag2'
_symmetry_space_group_name_H-M 'P 1'
_symmetry_Int_Tables_number 1
_cell_length_a 3.563
_cell_length_b 3.563
_cell_length_c 15.816
_cell_angle_alpha 90.00
_cell_angle_beta 90.00
_cell_angle_gamma 90.00
loop_
_symmetry_equiv_pos_as_xyz
'x,y,z'
loop_
_atom_site_label
_atom_site_type_symbol
_atom_site_fract_x
_atom_site_fract_y
_atom_site_fract_z
Li1 Li 0.000 0.500 0.250
Li2 Li 0.000 0.500 0.750
Li3 Li 0.500 0.000 0.250
Li4 Li 0.500 0.000 0.750
Mg1 Mg 0.000 0.000 0.097
Mg2 Mg 0.000 0.000 0.903
Mg3 Mg 0.500 0.500 0.403
Mg4 Mg 0.500 0.500 0.597
Ag1 Ag 0.000 0.000 0.500
Ag2 Ag 0.500 0.500 0.000
```

Record 5
The following is a PBE-GGA calculation of a geometry-optimized U2PaTcC4 structure, from Alexandria via LeMat-Bulk.

Results
DFT formation energy (eV per atom): -0.123
D(E_F) (states/eV per cell): 16.50
SG: No. 63

Cell and atoms, written as CIF:
```
data_U2PaTcC4
_chemical_formula_sum 'U4 Pa2 Tc2 C8'
_symmetry_space_group_name_H-M 'P 1'
_symmetry_Int_Tables_number 1
_cell_length_a 6.187
_cell_length_b 6.187
_cell_length_c 11.522
_cell_angle_alpha 90.00
_cell_angle_beta 90.00
_cell_angle_gamma 148.23
loop_
_symmetry_equiv_pos_as_xyz
'x,y,z'
loop_
_atom_site_label
_atom_site_type_symbol
_atom_site_fract_x
_atom_site_fract_y
_atom_site_fract_z
U1 U 0.132 0.868 0.551
U2 U 0.132 0.868 0.949
U3 U 0.868 0.132 0.051
U4 U 0.868 0.132 0.449
Pa1 Pa 0.390 0.610 0.750
Pa2 Pa 0.610 0.390 0.250
Tc1 Tc 0.349 0.651 0.250
Tc2 Tc 0.651 0.349 0.750
C1 C 0.040 0.960 0.750
C2 C 0.224 0.776 0.124
C3 C 0.224 0.776 0.376
C4 C 0.500 0.500 0.000
C5 C 0.500 0.500 0.500
C6 C 0.776 0.224 0.624
C7 C 0.776 0.224 0.876
C8 C 0.960 0.040 0.250
```

Record 6
The following is a PBE-GGA calculation of a geometry-optimized Zr4TcRh2 structure, from Alexandria via LeMat-Bulk.

Results
DFT formation energy (eV per atom): -0.498
D(E_F) (states/eV per cell): 10.14
SG: No. 65

Cell and atoms, written as CIF:
```
data_Zr4TcRh2
_chemical_formula_sum 'Zr8 Tc2 Rh4'
_symmetry_space_group_name_H-M 'P 1'
_symmetry_Int_Tables_number 1
_cell_length_a 6.507
_cell_length_b 9.318
_cell_length_c 4.588
_cell_angle_alpha 90.00
_cell_angle_beta 90.00
_cell_angle_gamma 90.00
loop_
_symmetry_equiv_pos_as_xyz
'x,y,z'
loop_
_atom_site_label
_atom_site_type_symbol
_atom_site_fract_x
_atom_site_fract_y
_atom_site_fract_z
Zr1 Zr 0.246 0.000 0.000
Zr2 Zr 0.250 0.250 0.500
Zr3 Zr 0.250 0.750 0.500
Zr4 Zr 0.254 0.500 0.000
Zr5 Zr 0.746 0.500 0.000
Zr6 Zr 0.750 0.250 0.500
Zr7 Zr 0.750 0.750 0.500
Zr8 Zr 0.754 0.000 0.000
Tc1 Tc 0.000 0.500 0.500
Tc2 Tc 0.500 0.000 0.500
Rh1 Rh 0.000 0.252 0.000
Rh2 Rh 0.000 0.748 0.000
Rh3 Rh 0.500 0.248 0.000
Rh4 Rh 0.500 0.752 0.000
```